RbYSn | PBE-GGA | optimized geometry

Unit cell a=4.3133 b=14.1227 c=4.5027 alpha=99.25 beta=90.01 gamma=90.10
Sites, in units of the cell vectors:
Rb  0.9039  0.5926  0.1160
Rb  0.3978  0.8930  0.7681
Y  0.4068  0.3443  0.4929
Y  0.9055  0.1413  0.3910
Sn  0.4056  0.1560  0.8985
Sn  0.9068  0.3297  0.9854

* E_tot: -4.133 eV per atom
* formation enthalpy at 0 K: -0.32 eV per atom
* relative energy among the computed polymorphs: 69 meV/atom

RbYSn | PBE-GGA | optimized geometry

Unit cell a=9.6106 b=7.3998 c=5.8074 alpha=90.00 beta=90.00 gamma=90.00
Sites, in units of the cell vectors:
Y  0.0000  0.0000  0.0000
Y  0.5000  0.0000  0.5000
Y  0.5000  0.5000  0.5000
Y  0.0000  0.5000  0.0000
Sn  0.3211  0.2500  0.0002
Sn  0.8211  0.2500  0.4998
Sn  0.1789  0.7500  0.5002
Sn  0.6789  0.7500  0.9998
Rb  0.8379  0.7500  0.4999
Rb  0.6621  0.2500  0.9999
Rb  0.3379  0.7500  0.0001
Rb  0.1621  0.2500  0.5001

* E_tot: -3.672 eV per atom
* formation enthalpy at 0 K: 0.14 eV per atom
* relative energy among the computed polymorphs: 531 meV/atom

RbYSn | PBE-GGA | optimized geometry

Unit cell a=5.5590 b=5.5590 c=4.1653 alpha=90.00 beta=90.00 gamma=120.00
Sites, in units of the cell vectors:
Sn  0.3333  0.6667  0.0000
Y  0.0000  0.0000  0.0000
Rb  0.6667  0.3333  0.5000

* E_tot: -3.770 eV per atom
* formation enthalpy at 0 K: 0.04 eV per atom
* relative energy among the computed polymorphs: 432 meV/atom